(1)
BeCd2W PBE relaxed; magnetization = 0.00 Bohr magnetons per cell; space-group type = I-4m2; crystal system = tetragonal; formation energy = 3.46 eV/f.u.
1.0
4.051 0.000 0.000
0.000 4.051 0.000
0.000 0.000 8.192
Be Cd W
2 4 2
direct
0.000 0.000 0.000
0.500 0.500 0.500
0.000 0.000 0.500
0.000 0.500 0.750
0.500 0.000 0.250
0.500 0.500 0.000
0.000 0.500 0.250
0.500 0.000 0.750

=====

(2)
BaInPd PBE relaxed; magnetization = 0.00 Bohr magnetons per cell; space-group type = P2_1/m; crystal system = monoclinic; formation energy = -1.52 eV/f.u.
1.0
5.390 0.000 0.000
0.000 5.219 0.000
-1.037 0.000 6.224
Ba In Pd
2 2 2
direct
0.232 0.250 0.380
0.768 0.750 0.620
0.327 0.750 0.012
0.673 0.250 0.988
0.147 0.250 0.865
0.853 0.750 0.135

=====

(3)
Ni2OsW PBE relaxed; magnetization = 0.01 Bohr magnetons per cell; space-group type = P4/mmm; crystal system = tetragonal; energy relative to the lowest polymorph listed for this composition = 267 meV per atom; formation energy = 0.94 eV/f.u.
1.0
3.157 0.000 0.000
0.000 3.157 0.000
0.000 0.000 5.261
Ni Os W
2 1 1
direct
0.000 0.000 0.248
0.000 0.000 0.752
0.500 0.500 0.500
0.500 0.500 0.000

=====

Ordered electronic total energy results: -3.762; -3.792; -8.702; unit eV per atom.